Crystalline Ce2ThPb9 at its relaxed geometry. Source: the Alexandria database, functional PBE-GGA.

Lattice parameters (Å, degrees): 4.9067 4.9067 14.7274 90.00 90.00 90.00
Last column: nearest neighbours and their distance in Å.
Fractional coordinates of all 12 atoms:
Ce1 0.0000 0.0000 0.1670  12 Pb 3.46-3.47
Ce2 0.0000 0.0000 0.8330  12 Pb 3.46-3.47
Th1 0.0000 0.0000 0.5000  12 Pb 3.47-3.48
Pb1 0.0000 0.5000 0.0000  8 Pb 3.46-3.47, 4 Ce 3.47
Pb2 0.0000 0.5000 0.3325  2 Ce 3.46, 8 Pb 3.47-3.48, 2 Th 3.48
Pb3 0.0000 0.5000 0.6675  2 Ce 3.46, 8 Pb 3.47-3.48, 2 Th 3.48
Pb4 0.5000 0.0000 0.0000  8 Pb 3.46-3.47, 4 Ce 3.47
Pb5 0.5000 0.0000 0.3325  2 Ce 3.46, 8 Pb 3.47-3.48, 2 Th 3.48
Pb6 0.5000 0.0000 0.6675  2 Ce 3.46, 8 Pb 3.47-3.48, 2 Th 3.48
Pb7 0.5000 0.5000 0.1661  8 Pb 3.46-3.47, 4 Ce 3.47
Pb8 0.5000 0.5000 0.5000  4 Th 3.47, 8 Pb 3.48
Pb9 0.5000 0.5000 0.8339  8 Pb 3.46-3.47, 4 Ce 3.47

Total magnetization: 1.94 μB/cell
Energy: -4.7003 eV per atom

---

Crystalline AgIrPbF6 at its relaxed geometry. Source: the Alexandria database, functional PBE-GGA.

Lattice parameters (Å, degrees): 6.2495 6.2495 8.5883 90.00 90.00 120.00
Last column: nearest neighbours and their distance in Å.
Fractional coordinates of all 18 atoms:
Ag1 0.0000 0.0000 0.0000  6 F 2.52
Ag2 0.0000 0.0000 0.5000  6 F 2.52
Ir1 0.3333 0.6667 0.2500  6 F 2.04
Ir2 0.6667 0.3333 0.7500  6 F 2.04
Pb1 0.3333 0.6667 0.7500  6 F 2.51
Pb2 0.6667 0.3333 0.2500  6 F 2.51
F1 0.0541 0.3863 0.1275  1 Ir 2.04
F2 0.0541 0.6678 0.3725  1 Ir 2.04
F3 0.3322 0.3863 0.3725  1 Ir 2.04
F4 0.3322 0.9459 0.1275  1 Ir 2.04
F5 0.3863 0.0541 0.6275  1 Ir 2.04
F6 0.3863 0.3322 0.8725  1 Ir 2.04
F7 0.6137 0.6678 0.1275  1 Ir 2.04
F8 0.6137 0.9459 0.3725  1 Ir 2.04
F9 0.6678 0.0541 0.8725  1 Ir 2.04
F10 0.6678 0.6137 0.6275  1 Ir 2.04
F11 0.9459 0.3322 0.6275  1 Ir 2.04
F12 0.9459 0.6137 0.8725  1 Ir 2.04

Total magnetization: 0.00 μB/cell
Formation energy (no corrections): -1.58 eV per atom
Energy: -4.5421 eV per atom

---

Crystalline RuPb2N at its relaxed geometry. Source: the Alexandria database, functional PBE-GGA.

Lattice parameters (Å, degrees): 6.0004 6.0004 6.0004 114.58 114.58 99.67
Last column: nearest neighbours and their distance in Å.
Fractional coordinates of all 8 atoms:
Ru1 0.0000 0.0000 0.0000  4 Pb 2.71
Ru2 0.7500 0.2500 0.5000  4 Pb 2.71
Pb1 0.1750 0.6250 0.0500  2 N 2.29
Pb2 0.3750 0.4250 0.5500  2 N 2.29
Pb3 0.5750 0.1250 0.9500  2 N 2.29
Pb4 0.8750 0.8250 0.4500  2 N 2.29
N1 0.2500 0.7500 0.5000  4 Pb 2.29
N2 0.5000 0.5000 0.0000  4 Pb 2.29

Total magnetization: 0.02 μB/cell
Formation energy (no corrections): 0.94 eV per atom
Energy: -5.3116 eV per atom

---

Crystalline Nb5Hg at its relaxed geometry. Source: the Alexandria database, functional PBE-GGA.

Lattice parameters (Å, degrees): 7.2469 7.2469 3.4527 90.00 90.00 142.18
Last column: nearest neighbours and their distance in Å.
Fractional coordinates of all 6 atoms:
Nb1 0.0000 0.0000 0.0000  4 Nb 2.82, 4 Hg 2.91
Nb2 0.1630 0.8370 0.5000  8 Nb 2.81-2.92
Nb3 0.3247 0.6753 0.0000  8 Nb 2.81-3.12, 2 Hg 2.96
Nb4 0.6753 0.3247 0.0000  8 Nb 2.81-3.12, 2 Hg 2.96
Nb5 0.8370 0.1630 0.5000  8 Nb 2.81-2.92
Hg1 0.5000 0.5000 0.5000  12 Nb 2.91-3.24

Total magnetization: 0.00 μB/cell
Energy: -8.3797 eV per atom

---

Crystalline Pm4Ho2Tm3 at its relaxed geometry. Source: the Alexandria database, functional PBE-GGA.

Lattice parameters (Å, degrees): 10.2071 10.2071 5.9529 96.11 96.11 69.80
Last column: nearest neighbours and their distance in Å.
Fractional coordinates of all 18 atoms:
Pm1 0.0471 0.8256 0.9558  3 Pm 3.35-3.46, 4 Tm 3.40-3.53, 1 Ho 3.65
Pm2 0.1628 0.3818 0.1180  2 Ho 3.27-3.43, 4 Tm 3.39-3.50, 2 Pm 3.46-3.61
Pm3 0.1744 0.9529 0.5442  3 Pm 3.35-3.46, 4 Tm 3.40-3.53, 1 Ho 3.65
Pm4 0.3818 0.1628 0.6180  2 Ho 3.27-3.43, 4 Tm 3.39-3.50, 2 Pm 3.46-3.61
Pm5 0.6182 0.8372 0.3820  2 Ho 3.27-3.43, 4 Tm 3.39-3.50, 2 Pm 3.46-3.61
Pm6 0.8256 0.0471 0.4558  3 Pm 3.35-3.46, 4 Tm 3.40-3.53, 1 Ho 3.65
Pm7 0.8372 0.6182 0.8820  2 Ho 3.27-3.43, 4 Tm 3.39-3.50, 2 Pm 3.46-3.61
Pm8 0.9529 0.1744 0.0442  3 Pm 3.35-3.46, 4 Tm 3.40-3.53, 1 Ho 3.65
Ho1 0.2914 0.5034 0.7052  3 Pm 3.27-3.65, 1 Ho 3.41, 4 Tm 3.41-3.50
Ho2 0.4966 0.7086 0.7948  3 Pm 3.27-3.65, 1 Ho 3.41, 4 Tm 3.41-3.50
Ho3 0.5034 0.2914 0.2052  3 Pm 3.27-3.65, 1 Ho 3.41, 4 Tm 3.41-3.50
Ho4 0.7086 0.4966 0.2948  3 Pm 3.27-3.65, 1 Ho 3.41, 4 Tm 3.41-3.50
Tm1 0.0167 0.3204 0.5803  7 Pm 3.39-3.53, 1 Ho 3.41, 1 Tm 3.78
Tm2 0.3204 0.0167 0.0803  7 Pm 3.39-3.53, 1 Ho 3.41, 1 Tm 3.78
Tm3 0.3506 0.6494 0.2500  2 Pm 3.40, 6 Ho 3.43-3.50
Tm4 0.6494 0.3506 0.7500  2 Pm 3.40, 6 Ho 3.43-3.50
Tm5 0.6796 0.9833 0.9197  7 Pm 3.39-3.53, 1 Ho 3.41, 1 Tm 3.78
Tm6 0.9833 0.6796 0.4197  7 Pm 3.39-3.53, 1 Ho 3.41, 1 Tm 3.78

Total magnetization: 0.00 μB/cell
Energy: -4.5290 eV per atom

---

Crystalline AlBr2Cl at its relaxed geometry. Source: the Alexandria database, functional PBE-GGA.

Lattice parameters (Å, degrees): 5.1585 5.1585 5.2779 90.00 90.00 120.15
Last column: nearest neighbours and their distance in Å.
Fractional coordinates of all 4 atoms:
Al1 0.0000 0.0000 0.0000  2 Cl 2.57
Br1 0.0000 0.5000 0.5000  2 Br 2.57
Br2 0.5000 0.0000 0.5000  2 Br 2.57
Cl1 0.5000 0.5000 0.0000  2 Al 2.57

Total magnetization: 0.00 μB/cell
Formation energy (no corrections): -0.16 eV per atom
Energy: -2.3902 eV per atom

---

Crystalline Ac6PdRu2Cl3 at its relaxed geometry. Source: the Alexandria database, functional PBE-GGA.

Lattice parameters (Å, degrees): 7.4732 7.4732 8.4181 98.40 98.40 120.06
Last column: nearest neighbours and their distance in Å.
Fractional coordinates of all 12 atoms:
Ac1 0.0855 0.4326 0.7959  2 Ru 2.94-2.95, 1 Pd 3.07
Ac2 0.2194 0.2194 0.2037  2 Ru 2.93, 1 Pd 3.07
Ac3 0.4326 0.0855 0.7959  2 Ru 2.94-2.95, 1 Pd 3.07
Ac4 0.5674 0.9145 0.2041  2 Ru 2.94-2.95, 1 Pd 3.07
Ac5 0.7806 0.7806 0.7963  2 Ru 2.93, 1 Pd 3.07
Ac6 0.9145 0.5674 0.2041  2 Ru 2.94-2.95, 1 Pd 3.07
Pd1 0.5000 0.5000 0.0000  6 Ac 3.07
Ru1 0.1661 0.8339 0.0000  6 Ac 2.93-2.95
Ru2 0.8339 0.1661 0.0000  6 Ac 2.93-2.95
Cl1 0.0000 0.0000 0.5000  6 Ac 3.36-3.49
Cl2 0.3247 0.6753 0.5000  6 Ac 3.31-3.56
Cl3 0.6753 0.3247 0.5000  6 Ac 3.31-3.56

Total magnetization: 0.00 μB/cell
Formation energy (no corrections): -1.07 eV per atom
Energy: -5.5640 eV per atom

---

Crystalline PrHoCd3 at its relaxed geometry. Source: the Alexandria database, functional PBE-GGA.

Lattice parameters (Å, degrees): 15.0066 15.0066 5.0424 90.00 90.00 166.60
Last column: nearest neighbours and their distance in Å.
Fractional coordinates of all 10 atoms:
Pr1 0.0753 0.9247 0.7500  12 Cd 3.39-3.53, 2 Pr 3.50
Pr2 0.9247 0.0753 0.2500  12 Cd 3.39-3.53, 2 Pr 3.50
Ho1 0.2147 0.7853 0.2500  7 Cd 3.19-3.26, 2 Ho 3.50
Ho2 0.7853 0.2147 0.7500  7 Cd 3.19-3.26, 2 Ho 3.50
Cd1 0.3218 0.6782 0.2500  2 Cd 3.00, 5 Ho 3.19-3.26
Cd2 0.3764 0.6236 0.7500  3 Cd 2.96-3.00, 2 Ho 3.23
Cd3 0.4756 0.5244 0.7500  3 Cd 2.91-2.96
Cd4 0.5244 0.4756 0.2500  3 Cd 2.91-2.96
Cd5 0.6236 0.3764 0.2500  3 Cd 2.96-3.00, 2 Ho 3.23
Cd6 0.6782 0.3218 0.7500  2 Cd 3.00, 5 Ho 3.19-3.26

Total magnetization: 0.00 μB/cell
Energy: -2.7284 eV per atom

---

Crystalline Li2SmAu4 at its relaxed geometry. Source: the Alexandria database, functional PBE-GGA.

Lattice parameters (Å, degrees): 5.6669 5.6669 5.2892 117.38 117.38 77.99
Last column: nearest neighbours and their distance in Å.
Fractional coordinates of all 7 atoms:
Li1 0.0012 0.0012 0.2512  2 Li 2.64, 8 Au 2.88-2.90
Li2 0.9988 0.9988 0.7488  2 Li 2.64, 8 Au 2.88-2.90
Sm1 0.5000 0.5000 0.5000  12 Au 3.01-3.34
Au1 0.0985 0.4993 0.7985  4 Au 2.82-2.86, 4 Li 2.88-2.90, 1 Sm 3.01
Au2 0.4993 0.0985 0.7985  4 Au 2.82-2.86, 4 Li 2.88-2.90, 1 Sm 3.01
Au3 0.5007 0.9015 0.2015  4 Au 2.82-2.86, 4 Li 2.88-2.90, 1 Sm 3.01
Au4 0.9015 0.5007 0.2015  4 Au 2.82-2.86, 4 Li 2.88-2.90, 1 Sm 3.01

Total magnetization: 0.00 μB/cell
Energy: -3.7506 eV per atom

---

Crystalline PuCdHg3 at its relaxed geometry. Source: the Alexandria database, functional PBE-GGA.

Lattice parameters (Å, degrees): 7.8123 7.8123 6.6206 98.71 98.71 39.33
Last column: nearest neighbours and their distance in Å.
Fractional coordinates of all 10 atoms:
Pu1 0.0996 0.0996 0.1599  8 Hg 3.18-3.42, 1 Pu 3.33, 3 Cd 3.53
Pu2 0.9004 0.9004 0.8401  8 Hg 3.18-3.42, 1 Pu 3.33, 3 Cd 3.53
Cd1 0.3065 0.3065 0.5149  2 Cd 3.10, 5 Hg 3.12-3.25
Cd2 0.6935 0.6935 0.4851  2 Cd 3.10, 5 Hg 3.12-3.25
Hg1 0.1039 0.1039 0.6526  4 Hg 3.10-3.38, 3 Cd 3.22-3.25, 3 Pu 3.25-3.42
Hg2 0.2967 0.2967 0.9817  4 Hg 2.99-3.29, 1 Cd 3.12, 3 Pu 3.25-3.30
Hg3 0.4895 0.4895 0.2427  5 Hg 3.08-3.37, 1 Cd 3.17, 2 Pu 3.18
Hg4 0.5105 0.5105 0.7573  5 Hg 3.08-3.37, 1 Cd 3.17, 2 Pu 3.18
Hg5 0.7033 0.7033 0.0183  4 Hg 2.99-3.29, 1 Cd 3.12, 3 Pu 3.25-3.30
Hg6 0.8961 0.8961 0.3474  4 Hg 3.10-3.38, 3 Cd 3.22-3.25, 3 Pu 3.25-3.42

Total magnetization: 12.05 μB/cell
Energy: -3.2793 eV per atom

---

Crystalline HfScNO2 at its relaxed geometry. Source: the Alexandria database, functional PBE-GGA.

Lattice parameters (Å, degrees): 3.8540 3.8540 4.2144 90.00 90.00 90.00
Last column: nearest neighbours and their distance in Å.
Fractional coordinates of all 5 atoms:
Hf1 0.0000 0.0000 0.0000  4 N 2.73, 8 O 2.86
Sc1 0.5000 0.5000 0.5000  4 O 1.93, 2 N 2.11
N1 0.5000 0.5000 0.0000  2 Sc 2.11
O1 0.0000 0.5000 0.5000  2 Sc 1.93
O2 0.5000 0.0000 0.5000  2 Sc 1.93

Total magnetization: 0.00 μB/cell
Formation energy (no corrections): -1.54 eV per atom
Energy: -8.4418 eV per atom

---

Crystalline CaNpTaO6 at its relaxed geometry. Source: the Alexandria database, functional PBE-GGA.

Lattice parameters (Å, degrees): 5.5680 5.5680 9.8176 90.00 90.00 120.00
Last column: nearest neighbours and their distance in Å.
Fractional coordinates of all 18 atoms:
Ca1 0.0000 0.0000 0.0000  6 O 2.45
Ca2 0.0000 0.0000 0.5000  6 O 2.45
Np1 0.3333 0.6667 0.2500  6 O 2.15
Np2 0.6667 0.3333 0.7500  6 O 2.15
Ta1 0.3333 0.6667 0.7500  6 O 2.01
Ta2 0.6667 0.3333 0.2500  6 O 2.01
O1 0.0178 0.3720 0.6405  1 Ta 2.01, 1 Np 2.15
O2 0.0178 0.6458 0.8595  1 Ta 2.01, 1 Np 2.15
O3 0.3542 0.3720 0.8595  1 Ta 2.01, 1 Np 2.15
O4 0.3542 0.9822 0.6405  1 Ta 2.01, 1 Np 2.15
O5 0.3720 0.0178 0.1405  1 Ta 2.01, 1 Np 2.15
O6 0.3720 0.3542 0.3595  1 Ta 2.01, 1 Np 2.15
O7 0.6280 0.6458 0.6405  1 Ta 2.01, 1 Np 2.15
O8 0.6280 0.9822 0.8595  1 Ta 2.01, 1 Np 2.15
O9 0.6458 0.0178 0.3595  1 Ta 2.01, 1 Np 2.15
O10 0.6458 0.6280 0.1405  1 Ta 2.01, 1 Np 2.15
O11 0.9822 0.3542 0.1405  1 Ta 2.01, 1 Np 2.15
O12 0.9822 0.6280 0.3595  1 Ta 2.01, 1 Np 2.15

Total magnetization: 4.00 μB/cell
Formation energy (no corrections): -2.95 eV per atom
Energy: -9.2361 eV per atom